Entry 1:
RbPa2AgO8: relaxed, PBE.

a = 5.4175 Å, b = 5.4175 Å, c = 7.9048 Å
α = 90.00°, β = 90.00°, γ = 120.00°
Space group P-3m1 (No. 164)
Symmetry-distinct sites (fractional):
Rb: 0.0000 0.0000 0.0000 [1 per cell]
Pa: 0.3333 0.6667 0.3792 [2 per cell]
Ag: 0.0000 0.0000 0.5000 [1 per cell]
O: 0.1823 0.3647 0.6284 [6 per cell]
O: 0.3333 0.6667 0.1427 [2 per cell]

Results
Formation energy without anion corrections in meV/atom: -1931
Mass density in Mg/m³: 6.47


Entry 2:
BiTe3Rh: relaxed, PBE.

a = 5.2409 Å, b = 5.2409 Å, c = 5.2409 Å
α = 90.00°, β = 90.00°, γ = 90.00°
Space group Pm-3m (No. 221)
Symmetry-distinct sites (fractional):
Bi: 0.0000 0.0000 0.0000 [1 per cell]
Te: 0.0000 0.5000 0.5000 [3 per cell]
Rh: 0.5000 0.5000 0.5000 [1 per cell]

Results
Formation energy without anion corrections in meV/atom: 203
E above lowest polymorph in meV per atom: 0
Fermi-level density of states in states/eV per atom: 1.179
Mass density in Mg/m³: 8.01


Entry 3:
Cs2KRbPt: relaxed, PBE.

a = 6.9202 Å, b = 6.9202 Å, c = 6.5874 Å
α = 90.00°, β = 90.00°, γ = 90.00°
Space group P4/mmm (No. 123)
Symmetry-distinct sites (fractional):
Cs: 0.0000 0.5000 0.0000 [2 per cell]
K: 0.0000 0.0000 0.5000 [1 per cell]
Rb: 0.5000 0.5000 0.5000 [1 per cell]
Pt: 0.0000 0.0000 0.0000 [1 per cell]

Results
Formation energy from the elements in eV per atom: 0.043
Fermi-level density of states in states/eV per atom: 0.227
Mass density in Mg/m³: 3.08


Entry 4:
Pr2Y3Pt2: relaxed, PBE.

a = 3.9869 Å, b = 6.8807 Å, c = 8.6661 Å
α = 112.20°, β = 90.03°, γ = 106.82°
Space group P-1 (No. 2)
Symmetry-distinct sites (fractional):
Pr: 0.1224 0.2458 0.4562 [2 per cell]
Y: 0.2604 0.5203 0.1711 [2 per cell]
Y: 0.5000 0.0000 0.0000 [1 per cell]
Pt: 0.0892 0.1786 0.8374 [2 per cell]

Results
Formation energy from the elements in eV per atom: -0.644
E above lowest polymorph in meV per atom: 110
Fermi-level density of states in states/eV per atom: 0.894
Mass density in Mg/m³: 7.46


Entry 5:
AcTb4Y3: relaxed, PBE.

a = 3.5010 Å, b = 11.8549 Å, c = 13.0584 Å
α = 90.00°, β = 90.00°, γ = 90.00°
Space group Immm (No. 71)
Symmetry-distinct sites (fractional):
Ac: 0.0000 0.0000 0.0000 [2 per cell]
Tb: 0.0000 0.2532 0.1354 [8 per cell]
Y: 0.0000 0.0000 0.5000 [2 per cell]
Y: 0.0000 0.5000 0.2555 [4 per cell]

Results
Formation energy from the elements in eV per atom: 0.156
E above lowest polymorph in meV per atom: 0
Fermi-level density of states in states/eV per atom: 1.842
Mass density in Mg/m³: 6.92


Entry 6:
NiIrSe2: relaxed, PBE.

a = 8.9374 Å, b = 3.5003 Å, c = 5.7812 Å
α = 90.00°, β = 93.23°, γ = 90.00°
Space group Cm (No. 8)
Symmetry-distinct sites (fractional):
Ni: 0.0000 0.0000 0.0000 [2 per cell]
Ir: 0.2160 0.5000 0.9345 [2 per cell]
Se: 0.1365 0.0000 0.6745 [2 per cell]
Se: 0.3703 0.0000 0.1760 [2 per cell]

Results
Formation energy without anion corrections in meV/atom: 8
Fermi-level density of states in states/eV per atom: 0.625
Mass density in Mg/m³: 7.52


Entry 7:
OsRuRh2: relaxed, PBE.

a = 5.4036 Å, b = 7.7559 Å, c = 2.6944 Å
α = 90.00°, β = 90.00°, γ = 90.00°
Space group Cmmm (No. 65)
Symmetry-distinct sites (fractional):
Os: 0.0000 0.0000 0.0000 [2 per cell]
Ru: 0.0000 0.5000 0.0000 [2 per cell]
Rh: 0.2500 0.2500 0.5000 [4 per cell]

Results
Formation energy from the elements in eV per atom: 0.086
E above lowest polymorph in meV per atom: 38
Fermi-level density of states in states/eV per atom: 0.822
Mass density in Mg/m³: 14.62


Entry 8:
Ce2Sn3Sb3: relaxed, PBE.

a = 4.7554 Å, b = 4.8868 Å, c = 9.1098 Å
α = 90.00°, β = 90.00°, γ = 90.00°
Space group Pmmm (No. 47)
Symmetry-distinct sites (fractional):
Ce: 0.0000 0.0000 0.2442 [2 per cell]
Sn: 0.0000 0.5000 0.5000 [1 per cell]
Sn: 0.5000 0.5000 0.2514 [2 per cell]
Sb: 0.0000 0.5000 0.0000 [1 per cell]
Sb: 0.5000 0.0000 0.0000 [1 per cell]
Sb: 0.5000 0.0000 0.5000 [1 per cell]

Results
Formation energy without anion corrections in meV/atom: -566
Fermi-level density of states in states/eV per atom: 0.991
Mass density in Mg/m³: 7.86